[1]
Here is TbTm7Mg4 after structural relaxation from Alexandria. Energies are from PBE.

## Properties
Energy of formation ... 0.197 eV per atom

```
data_TbTm7Mg4
_cell_length_a 5.677
_cell_length_b 8.981
_cell_length_c 7.967
_cell_angle_alpha 68.56
_cell_angle_beta 69.13
_cell_angle_gamma 71.58
_space_group_name_H-M_alt 'P 1'
_space_group_IT_number 1
_space_group_name_Hall 'P 1'
loop_
_atom_site_label
_atom_site_fract_x
_atom_site_fract_y
_atom_site_fract_z
Tb1 0.000 0.000 0.000
Tm1 0.795 0.879 0.531
Tm2 0.205 0.121 0.469
Tm3 0.080 0.573 0.266
Tm4 0.920 0.427 0.734
Tm5 0.250 0.712 0.789
Tm6 0.500 0.000 0.000
Tm7 0.750 0.288 0.211
Mg1 0.543 0.301 0.613
Mg2 0.457 0.699 0.387
Mg3 0.675 0.654 0.997
Mg4 0.325 0.346 0.003
```



[2]
Here is Mg2BeTl after structural relaxation from Alexandria. Energies are from PBE.

## Properties
Energy of formation ... 0.292 eV per atom
Offset from the most stable computed form ... 76 meV/atom

```
data_Mg2BeTl
_cell_length_a 5.188
_cell_length_b 5.188
_cell_length_c 5.188
_cell_angle_alpha 131.38
_cell_angle_beta 130.47
_cell_angle_gamma 71.94
_space_group_name_H-M_alt 'P 1'
_space_group_IT_number 1
_space_group_name_Hall 'P 1'
loop_
_atom_site_label
_atom_site_fract_x
_atom_site_fract_y
_atom_site_fract_z
Be1 0.750 0.250 0.500
Tl1 0.250 0.750 0.500
Mg1 0.997 0.997 0.000
Mg2 0.503 0.503 0.000
```



[3]
Here is MnVTe2 after structural relaxation from Alexandria. Energies are from PBE.

## Properties
Formation energy from raw total energies ... 0.182 eV per atom
Offset from the most stable computed form ... 353 meV/atom

```
data_MnVTe2
_cell_length_a 9.020
_cell_length_b 9.020
_cell_length_c 9.020
_cell_angle_alpha 22.63
_cell_angle_beta 22.63
_cell_angle_gamma 22.63
_space_group_name_H-M_alt 'P 1'
_space_group_IT_number 1
_space_group_name_Hall 'P 1'
loop_
_atom_site_label
_atom_site_fract_x
_atom_site_fract_y
_atom_site_fract_z
Te1 0.899 0.899 0.899
Te2 0.101 0.101 0.101
Mn1 0.000 0.000 0.000
V1 0.500 0.500 0.500
```